No. 1
The following is a DFT calculation (GGA-PBEsol) of a relaxed structure of CdAg2Rh.

Unit cell a=3.2549 b=3.2549 c=6.1510 alpha=90.00 beta=90.00 gamma=90.00
Fractional positions:
1 Cd 0.0000 0.0000 0.0000
2 Ag 0.0000 0.0000 0.4824
3 Ag 0.5000 0.5000 0.7306
4 Rh 0.5000 0.5000 0.2380

spin magnetization = 0.000 μB per cell
E = -3.926 eV/atom
formation enthalpy at 0 K = 0.063 eV per atom
space group = P4mm, No. 99
theoretical density = 11.0 g/cm3



No. 2
The following is a DFT calculation (GGA-PBEsol) of a relaxed structure of MgRe.

Unit cell a=4.5483 b=2.6703 c=5.2448 alpha=90.00 beta=90.00 gamma=90.00
Fractional positions:
1 Mg 0.2500 0.0000 0.1396
2 Mg 0.7500 0.0000 0.8604
3 Re 0.2500 0.5000 0.6204
4 Re 0.7500 0.5000 0.3796

spin magnetization = 0.000 μB per cell
E = -7.157 eV/atom
formation enthalpy at 0 K = 0.368 eV per atom
space group = Pmma, No. 51
theoretical density = 11.0 g/cm3



No. 3
The following is a DFT calculation (GGA-PBEsol) of a relaxed structure of RbBaCoC2.

Unit cell a=4.6871 b=4.6871 c=5.8173 alpha=90.00 beta=90.00 gamma=90.00
Fractional positions:
1 Rb 0.0000 0.0000 0.0000
2 Ba 0.0000 0.0000 0.5000
3 Co 0.5000 0.5000 0.5000
4 C 0.0000 0.5000 0.0000
5 C 0.5000 0.0000 0.0000

spin magnetization = 2.652 μB per cell
E = -2.706 eV/atom
formation enthalpy at 0 K = 3.334 eV per atom
space group = P4/mmm, No. 123
theoretical density = 4.0 g/cm3



No. 4
The following is a DFT calculation (GGA-PBEsol) of a relaxed structure of TiCBr3.

Unit cell a=5.0034 b=5.0034 c=5.0034 alpha=90.00 beta=90.00 gamma=90.00
Fractional positions:
1 Ti 0.0000 0.0000 0.0000
2 C 0.5000 0.5000 0.5000
3 Br 0.0000 0.0000 0.5000
4 Br 0.0000 0.5000 0.0000
5 Br 0.5000 0.0000 0.0000

spin magnetization = 3.008 μB per cell
E = -3.969 eV/atom
formation energy from raw total energies = 746 meV/atom
space group = Pm-3m, No. 221
theoretical density = 4.0 g/cm3



No. 5
The following is a DFT calculation (GGA-PBEsol) of a relaxed structure of Zr2TaMo.

Unit cell a=5.6278 b=5.6278 c=5.6278 alpha=139.25 beta=139.25 gamma=59.00
Fractional positions:
1 Zr 0.2500 0.7500 0.5000
2 Zr 0.7500 0.2500 0.5000
3 Ta 0.0000 0.0000 0.0000
4 Mo 0.5000 0.5000 0.0000

spin magnetization = 0.000 μB per cell
E = -10.401 eV/atom
formation enthalpy at 0 K = 0.223 eV per atom
space group = I4/mmm, No. 139
theoretical density = 10.1 g/cm3



No. 6
The following is a DFT calculation (GGA-PBEsol) of a relaxed structure of Nd2Be2GeO7.

Unit cell a=7.6307 b=7.6307 c=4.9290 alpha=90.00 beta=90.00 gamma=90.00
Fractional positions:
1 Nd 0.1595 0.3405 0.4946
2 Nd 0.3405 0.8405 0.5054
3 Nd 0.6595 0.1595 0.5054
4 Nd 0.8405 0.6595 0.4946
5 Be 0.1326 0.6326 0.9578
6 Be 0.3674 0.1326 0.0422
7 Be 0.6326 0.8674 0.0422
8 Be 0.8674 0.3674 0.9578
9 Ge 0.0000 0.0000 0.0000
10 Ge 0.5000 0.5000 0.0000
11 O 0.0000 0.5000 0.8243
12 O 0.0770 0.8264 0.7946
13 O 0.1413 0.6413 0.2791
14 O 0.1736 0.0770 0.2054
15 O 0.3264 0.5770 0.7946
16 O 0.3587 0.1413 0.7209
17 O 0.4230 0.3264 0.2054
18 O 0.5000 0.0000 0.1757
19 O 0.5770 0.6736 0.2054
20 O 0.6413 0.8587 0.7209
21 O 0.6736 0.4230 0.7946
22 O 0.8264 0.9230 0.2054
23 O 0.8587 0.3587 0.2791
24 O 0.9230 0.1736 0.7946

spin magnetization = 0.000 μB per cell
E = -7.867 eV/atom
formation energy from raw total energies = -2866 meV/atom
space group = P-42_1m, No. 113
theoretical density = 5.7 g/cm3



Going through the records in order, we get Fermi-level density of states values of 1.27, 1.19, 8.27, 5.77, 5.75, 0.00 states/eV/f.u..